1.
Compound: CePmTePb
Source: Alexandria
Functional: PBE
Structure: optimized geometry

Results
The energy above the most stable polymorph in this dataset comes out at 0.190 eV/atom. As for the theoretical density: 8.7 g/cm3. The space group is F-43m, No. 216.

abc: 5.509 5.509 5.509
angles: 60.00 60.00 60.00
Last column: magnetic moment on the atom in μB.
Element x y z (fractional)
Pb: 0.500 0.500 0.500  -0.05
Te: 0.000 0.000 0.000  -0.03
Ce: 0.250 0.250 0.250  0.76
Pm: 0.750 0.750 0.750  0.14

2.
Compound: CePmThPb
Source: Alexandria
Functional: PBE
Structure: optimized geometry

Results
The formation energy comes out at -39 meV/atom. As for the theoretical density: 9.9 g/cm3. The space group is F-43m, No. 216.

abc: 5.552 5.552 5.552
angles: 60.00 60.00 60.00
Last column: magnetic moment on the atom in μB.
Element x y z (fractional)
Th: 0.000 0.000 0.000  0.27
Pm: 0.750 0.750 0.750  0.07
Pb: 0.500 0.500 0.500  0.00
Ce: 0.250 0.250 0.250  0.67

no.,V (Å³/cell),final energy (eV per cell)
1,118.21,-20.54
2,121.03,-21.97